Entry 1:
Density functional theory data (GGA-PBE) for an optimized crystal structure of NaSc2H4.

The space group is I4/mmm (No. 139) and the conventional cell measures 3.634, 3.634 and 11.538 Å, with angles of 90.00, 90.00 and 90.00 degrees. The distinct sites, in fractional coordinates, are Na at (0.000, 0.000, 0.000), Sc at (0.000, 0.000, 0.343), H at (0.000, 0.000, 0.175) and H at (0.000, 0.500, 0.000).

The spin magnetization is 0.0 Bohr magnetons per cell. As for the total energy: -27.64 eV per formula unit.

***

Entry 2:
Density functional theory data (GGA-PBE) for an optimized crystal structure of Ga3HgAs.

The space group is Pm-3m (No. 221) and the conventional cell measures 5.075, 5.075 and 5.075 Å, with angles of 90.00, 90.00 and 90.00 degrees. The distinct sites, in fractional coordinates, are Ga at (0.000, 0.000, 0.500), Hg at (0.500, 0.500, 0.500) and As at (0.000, 0.000, 0.000).

As for the formation energy: 1.605 eV/f.u. The spin magnetization is 0.0 Bohr magnetons per cell. As for the total energy: -12.43 eV per formula unit.

***

Entry 3:
Density functional theory data (GGA-PBE) for an optimized crystal structure of Zr2CoTcAs.

The space group is P4/mmm (No. 123) and the conventional cell measures 5.000, 5.000 and 4.118 Å, with angles of 90.00, 90.00 and 90.00 degrees. The distinct sites, in fractional coordinates, are Zr at (0.000, 0.500, 0.000), Co at (0.000, 0.000, 0.500), Tc at (0.500, 0.500, 0.500) and As at (0.000, 0.000, 0.000).

As for the formation energy: 2.376 eV/f.u. The spin magnetization is 1.1 Bohr magnetons per cell. As for the total energy: -36.84 eV per formula unit.

***

Entry 4:
Density functional theory data (GGA-PBE) for an optimized crystal structure of Li3AsH.

The space group is C2 (No. 5) and the conventional cell measures 10.118, 5.621 and 5.715 Å, with angles of 90.00, 124.24 and 90.00 degrees. The distinct sites, in fractional coordinates, are Li at (0.001, 0.000, 0.246), Li at (0.001, 0.500, 0.256), Li at (0.250, 0.254, 0.751), As at (0.250, 0.237, 0.278) and H at (0.250, 0.425, 0.067).

The spin magnetization is 0.0 Bohr magnetons per cell. As for the total energy: -15.13 eV per formula unit.

***

Entry 5:
Density functional theory data (GGA-PBE) for an optimized crystal structure of CaSbRuI2.

The space group is P4/mmm (No. 123) and the conventional cell measures 5.874, 5.874 and 6.235 Å, with angles of 90.00, 90.00 and 90.00 degrees. The distinct sites, in fractional coordinates, are Ca at (0.000, 0.000, 0.000), Sb at (0.000, 0.000, 0.500), Ru at (0.500, 0.500, 0.500) and I at (0.000, 0.500, 0.000).

The calculation puts the uncorrected formation energy at 764 meV per atom. The spin magnetization is 4.8 Bohr magnetons per cell. As for the total energy: -14.68 eV per formula unit.

***

Entry 6:
Density functional theory data (GGA-PBE) for an optimized crystal structure of CdTe2.

The space group is Cm (No. 8) and the conventional cell measures 13.880, 3.515 and 8.740 Å, with angles of 90.00, 108.17 and 90.00 degrees. The distinct sites, in fractional coordinates, are Cd at (0.000, 0.000, 0.000), Cd at (0.217, 0.000, 0.729), Te at (0.003, 0.000, 0.684), Te at (0.049, 0.500, 0.287), Te at (0.258, 0.500, 0.464) and Te at (0.295, 0.500, 0.012).

The calculation puts the uncorrected formation energy at -90 meV per atom. The spin magnetization is 0.0 Bohr magnetons per cell. As for the total energy: -7.47 eV per formula unit.

***

Entry 7:
Density functional theory data (GGA-PBE) for an optimized crystal structure of NaRuRh.

The space group is P1 (No. 1) and the conventional cell measures 2.734, 5.575 and 6.874 Å, with angles of 74.25, 78.54 and 75.89 degrees. The distinct sites, in fractional coordinates, are Na at (0.000, 0.000, 0.000), Na at (0.395, 0.855, 0.353), Ru at (0.059, 0.340, 0.543), Ru at (0.338, 0.515, 0.809), Rh at (0.698, 0.928, 0.676) and Rh at (0.699, 0.428, 0.176).

As for the formation energy: 1.163 eV/f.u. The spin magnetization is 0.0 Bohr magnetons per cell. As for the total energy: -16.78 eV per formula unit.

***

Entry 8:
Density functional theory data (GGA-PBE) for an optimized crystal structure of LiTeRh2.

The space group is F-43m (No. 216) and the conventional cell measures 6.327, 6.327 and 6.327 Å, with angles of 90.00, 90.00 and 90.00 degrees. The distinct sites, in fractional coordinates, are Li at (0.000, 0.000, 0.000), Te at (0.250, 0.250, 0.750), Rh at (0.000, 0.000, 0.500) and Rh at (0.250, 0.250, 0.250).

The calculation puts the uncorrected formation energy at -129 meV per atom. The spin magnetization is 0.0 Bohr magnetons per cell. As for the total energy: -20.28 eV per formula unit.

***

Entry 9:
Density functional theory data (GGA-PBE) for an optimized crystal structure of ScNb2Rh2.

The space group is P4/mbm (No. 127) and the conventional cell measures 7.537, 7.537 and 3.118 Å, with angles of 90.00, 90.00 and 90.00 degrees. The distinct sites, in fractional coordinates, are Sc at (0.000, 0.000, 0.000), Nb at (0.171, 0.329, 0.500) and Rh at (0.129, 0.629, 0.000).

As for the formation energy: -1.689 eV/f.u. The spin magnetization is 0.0 Bohr magnetons per cell. As for the total energy: -42.86 eV per formula unit.

***

Entry 10:
Density functional theory data (GGA-PBE) for an optimized crystal structure of CaInCo.

The space group is F-43m (No. 216) and the conventional cell measures 6.866, 6.866 and 6.866 Å, with angles of 90.00, 90.00 and 90.00 degrees. The distinct sites, in fractional coordinates, are Ca at (0.000, 0.000, 0.000), In at (0.250, 0.250, 0.750) and Co at (0.250, 0.250, 0.250).

As for the formation energy: 2.411 eV/f.u. The spin magnetization is 4.0 Bohr magnetons per cell. As for the total energy: -9.43 eV per formula unit.

***

Entry 11:
Density functional theory data (GGA-PBE) for an optimized crystal structure of BePbSe2.

The space group is P2/m (No. 10) and the conventional cell measures 4.065, 3.451 and 6.840 Å, with angles of 90.00, 97.99 and 90.00 degrees. The distinct sites, in fractional coordinates, are Be at (0.000, 0.000, 0.000), Pb at (0.500, 0.000, 0.500) and Se at (0.072, 0.500, 0.780).

The calculation puts the uncorrected formation energy at -237 meV per atom. The spin magnetization is 0.0 Bohr magnetons per cell. As for the total energy: -15.35 eV per formula unit.

***

Entry 12:
Density functional theory data (GGA-PBE) for an optimized crystal structure of NbAlV2C.

The space group is P4/mmm (No. 123) and the conventional cell measures 3.960, 3.960 and 4.390 Å, with angles of 90.00, 90.00 and 90.00 degrees. The distinct sites, in fractional coordinates, are Nb at (0.000, 0.000, 0.000), Al at (0.500, 0.500, 0.000), V at (0.000, 0.500, 0.500) and C at (0.000, 0.000, 0.500).

As for the formation energy: -1.310 eV/f.u. The spin magnetization is 0.0 Bohr magnetons per cell. As for the total energy: -42.58 eV per formula unit.